Material: Sm7Ag2Ge2
Method: DFT, GGA-PBE
State: optimized geometry

Cell: 6.722 6.722 7.505 Å, 90.00 90.00 108.82°
Sites, in units of the cell vectors:
Sm 0.000 0.000 0.000
Sm 0.000 0.500 0.294
Sm 0.000 0.500 0.706
Sm 0.500 0.000 0.294
Sm 0.500 0.000 0.706
Sm 0.500 0.500 0.266
Sm 0.500 0.500 0.734
Ag 0.286 0.714 0.000
Ag 0.714 0.286 0.000
Ge 0.169 0.169 0.500
Ge 0.831 0.831 0.500

Output
space-group type	Cmmm, No. 65
formation enthalpy at 0 K	-75	meV/atom
DOS at the Fermi energy	1.130	states/eV/atom
spin magnetization	0.0	μB/cell
DFT total energy	-48.797	eV/cell


Material: Ba2Cd3AgGe4
Method: DFT, GGA-PBE
State: optimized geometry

Cell: 4.731 4.731 11.378 Å, 90.00 90.00 90.00°
Sites, in units of the cell vectors:
Ba 0.000 0.500 0.246
Ba 0.500 0.000 0.754
Cd 0.000 0.000 0.000
Cd 0.000 0.500 0.633
Cd 0.500 0.000 0.367
Ag 0.500 0.500 0.000
Ge 0.000 0.000 0.500
Ge 0.000 0.500 0.872
Ge 0.500 0.000 0.128
Ge 0.500 0.500 0.500

Output
space-group type	P-4m2, No. 115
formation enthalpy at 0 K	-310	meV/atom
DOS at the Fermi energy	0.319	states/eV/atom
spin magnetization	0.0	μB/cell
DFT total energy	-31.010	eV/cell


Material: CaIn2O
Method: DFT, GGA-PBE
State: optimized geometry

Cell: 6.826 6.826 6.826 Å, 96.61 96.61 140.34°
Sites, in units of the cell vectors:
Ca 0.000 0.000 0.000
Ca 0.750 0.250 0.500
In 0.226 0.625 0.101
In 0.375 0.476 0.601
In 0.524 0.125 0.899
In 0.875 0.774 0.399
O 0.250 0.750 0.500
O 0.500 0.500 0.000

Output
ΔE_f (raw)	-779	meV/atom
space-group type	I-42d, No. 122
DOS at the Fermi energy	0.057	states/eV/atom
spin magnetization	0.0	μB/cell
DFT total energy	-31.102	eV/cell


Please write out number 2 again, unchanged.
Material: Ba2Cd3AgGe4
Method: DFT, GGA-PBE
State: optimized geometry

Cell: 4.731 4.731 11.378 Å, 90.00 90.00 90.00°
Sites, in units of the cell vectors:
Ba 0.000 0.500 0.246
Ba 0.500 0.000 0.754
Cd 0.000 0.000 0.000
Cd 0.000 0.500 0.633
Cd 0.500 0.000 0.367
Ag 0.500 0.500 0.000
Ge 0.000 0.000 0.500
Ge 0.000 0.500 0.872
Ge 0.500 0.000 0.128
Ge 0.500 0.500 0.500

Output
space-group type	P-4m2, No. 115
formation enthalpy at 0 K	-310	meV/atom
DOS at the Fermi energy	0.319	states/eV/atom
spin magnetization	0.0	μB/cell
DFT total energy	-31.010	eV/cell